DFT (PBE) results for an optimized crystal structure of LiPmIn.

The structure belongs to space group Cmcm (No. 63); the cell edges are 5.123, 8.856 and 6.417 Å and the angles 90.00°, 90.00° and 90.00°. The inequivalent atoms are Li at (0.000, 0.168, 0.250), Pm at (0.000, 0.166, 0.750) and In at (0.000, 0.500, 0.000).

As for the spin magnetization: 0.0 μB/f.u. As for the energy above the lowest structure with this stoichiometry: 42 meV per atom. The calculation puts the formation energy at -0.30 eV per atom.